1 | First-principles (PBE-GGA) data for a relaxed AcNi2Sn4 crystal, as listed in Alexandria via LeMat-Bulk.

Output
Space group = No. 65
Calculated density = 8.38 Mg/m³
DOS at the Fermi energy = 0.36 states/eV/atom

Cell lengths 4.9494, 4.9951, 7.0286 Å; angles 110.81, 90.00, 90.00 degrees
Closest atoms and distances in Å follow each position.
Fractional coordinates of all 7 atoms:
Ac 0.0000 0.0000 0.0000  8 Sn 3.39-3.41, 8 Ni 3.76
Sn 0.5000 0.1760 0.3520  3 Ni 2.68-2.93
Sn 0.0000 0.3233 0.6466  2 Ni 2.67
Sn 0.0000 0.6767 0.3534  2 Ni 2.67
Sn 0.5000 0.8240 0.6480  3 Ni 2.68-2.93
Ni 0.5000 0.6011 0.2022  1 Ni 2.66, 5 Sn 2.67-2.93
Ni 0.5000 0.3989 0.7978  1 Ni 2.66, 5 Sn 2.67-2.93

2 | First-principles (PBE-GGA) data for a relaxed AcNi2Sn4 crystal, as listed in Alexandria via LeMat-Bulk.

Output
Space group = No. 62
Calculated density = 8.51 Mg/m³
DOS at the Fermi energy = 0.50 states/eV/atom

Cell lengths 4.4831, 7.2763, 19.6098 Å; angles 90.00, 90.00, 90.00 degrees
Closest atoms and distances in Å follow each position.
Fractional coordinates of all 28 atoms:
Ni 0.2500 0.7468 0.5348  7 Sn 2.64-2.92
Ni 0.7500 0.2532 0.4652  7 Sn 2.64-2.92
Ni 0.2500 0.9935 0.7928  6 Sn 2.67-2.75
Ni 0.7500 0.4935 0.7072  6 Sn 2.67-2.75
Ni 0.2500 0.7532 0.0348  7 Sn 2.64-2.92
Ni 0.7500 0.0065 0.2072  6 Sn 2.67-2.75
Ni 0.2500 0.5065 0.2928  6 Sn 2.67-2.75
Ni 0.7500 0.2468 0.9652  7 Sn 2.64-2.92
Ac 0.7500 0.0201 0.6390  8 Sn 3.28-3.44, 2 Ni 3.63
Ac 0.2500 0.5201 0.8610  8 Sn 3.28-3.44, 2 Ni 3.63
Ac 0.2500 0.9799 0.3610  8 Sn 3.28-3.44, 2 Ni 3.63
Ac 0.7500 0.4799 0.1390  8 Sn 3.28-3.44, 2 Ni 3.63
Sn 0.2500 0.8045 0.1762  3 Ni 2.75-2.80, 1 Sn 2.99
Sn 0.7500 0.9938 0.0681  4 Ni 2.73-2.92
Sn 0.7500 0.7932 0.7927  3 Ni 2.67-2.75, 1 Sn 2.99
Sn 0.2500 0.3543 0.0241  3 Ni 2.64-2.91
Sn 0.2500 0.1457 0.5241  3 Ni 2.64-2.91
Sn 0.2500 0.6955 0.6762  3 Ni 2.75-2.80, 1 Sn 2.99
Sn 0.7500 0.6457 0.9759  3 Ni 2.64-2.91
Sn 0.7500 0.3045 0.3238  3 Ni 2.75-2.80, 1 Sn 2.99
Sn 0.7500 0.8543 0.4759  3 Ni 2.64-2.91
Sn 0.2500 0.4938 0.4319  4 Ni 2.73-2.92
Sn 0.7500 0.7068 0.2927  3 Ni 2.67-2.75, 1 Sn 2.99
Sn 0.7500 0.1955 0.8238  3 Ni 2.75-2.80, 1 Sn 2.99
Sn 0.2500 0.2068 0.2073  3 Ni 2.67-2.75, 1 Sn 2.99
Sn 0.2500 0.0062 0.9319  4 Ni 2.73-2.92
Sn 0.7500 0.5062 0.5681  4 Ni 2.73-2.92
Sn 0.2500 0.2932 0.7073  3 Ni 2.67-2.75, 1 Sn 2.99

2 wins, 0.129 eV/atom ahead of the next structure.

1 | First-principles (PBE-GGA) data for a relaxed Ac3Ni2Sn4 crystal, as listed in Alexandria via LeMat-Bulk.

Output
Space group = No. 12
Calculated density = 8.21 Mg/m³
DOS at the Fermi energy = 0.75 states/eV/atom

Cell lengths 4.6726, 6.5474, 9.1344 Å; angles 98.74, 90.00, 110.91 degrees
Closest atoms and distances in Å follow each position.
Fractional coordinates of all 9 atoms:
Sn 0.2800 0.5600 0.9168  1 Ni 2.53
Sn 0.9331 0.8662 0.6232  2 Ni 2.54
Sn 0.7200 0.4400 0.0832  1 Ni 2.53
Sn 0.0669 0.1338 0.3768  2 Ni 2.54
Ac 0.6542 0.3084 0.6567  2 Ni 3.23-3.37, 7 Sn 3.47-3.55
Ac 0.0000 0.0000 0.0000  8 Sn 3.41-3.63, 4 Ni 3.54
Ac 0.3458 0.6916 0.3433  2 Ni 3.23-3.37, 7 Sn 3.47-3.55
Ni 0.5984 0.1967 0.2825  3 Sn 2.53-2.54
Ni 0.4016 0.8033 0.7175  3 Sn 2.53-2.54

2 | First-principles (PBE-GGA) data for a relaxed Ac3Ni2Sn4 crystal, as listed in Alexandria via LeMat-Bulk.

Output
Space group = No. 12
Calculated density = 8.50 Mg/m³
DOS at the Fermi energy = 0.73 states/eV/atom

Cell lengths 4.7682, 6.4045, 9.1226 Å; angles 104.74, 90.00, 111.85 degrees
Closest atoms and distances in Å follow each position.
Fractional coordinates of all 9 atoms:
Ac 0.0000 0.0000 0.0000  8 Sn 3.42-3.69
Ac 0.3832 0.7664 0.3142  4 Ni 3.30-3.49, 8 Sn 3.43-3.57
Ac 0.6168 0.2336 0.6858  4 Ni 3.30-3.49, 8 Sn 3.43-3.57
Ni 0.3201 0.6402 0.6445  4 Sn 2.59-2.78
Ni 0.6799 0.3598 0.3555  4 Sn 2.59-2.78
Sn 0.2860 0.5720 0.9146  1 Ni 2.60
Sn 0.8846 0.7693 0.5936  3 Ni 2.59-2.78
Sn 0.1154 0.2307 0.4064  3 Ni 2.59-2.78
Sn 0.7140 0.4280 0.0854  1 Ni 2.60

1 wins, 0.023 eV/atom ahead of the next structure.

1 | First-principles (PBE-GGA) data for a relaxed SrAcNi crystal, as listed in Alexandria via LeMat-Bulk.

Output
Space group = No. 216
Calculated density = 6.26 Mg/m³
DOS at the Fermi energy = 1.15 states/eV/atom

Cell lengths 5.1942, 5.1942, 5.1942 Å; angles 60.00, 60.00, 60.00 degrees
Closest atoms and distances in Å follow each position.
Fractional coordinates of all 3 atoms:
Sr 0.5000 0.5000 0.5000  4 Ni 3.18
Ni 0.2500 0.2500 0.2500  4 Sr 3.18, 4 Ac 3.18
Ac 0.0000 0.0000 0.0000  4 Ni 3.18

2 | First-principles (PBE-GGA) data for a relaxed SrAcNi crystal, as listed in Alexandria via LeMat-Bulk.

Output
Space group = No. 63
Calculated density = 5.86 Mg/m³
DOS at the Fermi energy = 0.87 states/eV/atom

Cell lengths 4.2145, 4.1356, 12.3070 Å; angles 99.67, 90.00, 90.00 degrees
Closest atoms and distances in Å follow each position.
Fractional coordinates of all 6 atoms:
Ni 0.7500 0.5301 0.0602  2 Ni 2.56
Ni 0.2500 0.4699 0.9398  2 Ni 2.56
Ac 0.2500 0.0658 0.1316  6 Ni 3.08-3.11
Ac 0.7500 0.9342 0.8684  6 Ni 3.08-3.11
Sr 0.2500 0.3134 0.6268  1 Ni 3.80, 4 Sr 4.14-4.21, 4 Ac 4.16
Sr 0.7500 0.6866 0.3732  1 Ni 3.80, 4 Sr 4.14-4.21, 4 Ac 4.16

2 wins, 0.225 eV/atom ahead of the next structure.

1 | First-principles (PBE-GGA) data for a relaxed SrAcNi crystal, as listed in Alexandria via LeMat-Bulk.

Output
Space group = No. 156
Calculated density = 5.54 Mg/m³
DOS at the Fermi energy = 0.89 states/eV/atom

Cell lengths 7.0714, 4.2730, 4.2730 Å; angles 120.00, 90.00, 90.00 degrees
Closest atoms and distances in Å follow each position.
Fractional coordinates of all 3 atoms:
Ac 0.2224 0.3333 0.6667  3 Ni 2.87
Ni 0.0154 0.0000 0.0000  3 Ac 2.87, 3 Sr 3.05
Sr 0.7622 0.6667 0.3333  3 Ni 3.05

2 | First-principles (PBE-GGA) data for a relaxed SrAcNi crystal, as listed in Alexandria via LeMat-Bulk.

Output
Space group = No. 107
Calculated density = 6.32 Mg/m³
DOS at the Fermi energy = 0.97 states/eV/atom

Cell lengths 3.7451, 3.7451, 7.4827 Å; angles 104.49, 104.49, 90.00 degrees
Closest atoms and distances in Å follow each position.
Fractional coordinates of all 3 atoms:
Ni 0.6785 0.6785 0.3569  4 Ac 3.05, 4 Sr 3.32
Ac 0.2862 0.2862 0.5724  4 Ni 3.05
Sr 0.0353 0.0353 0.0707  4 Ni 3.32, 1 Ac 3.51

1 wins, 0.056 eV/atom ahead of the next structure.

1 | First-principles (PBE-GGA) data for a relaxed SrAc2Ni crystal, as listed in Alexandria via LeMat-Bulk.

Output
Space group = No. 166
Calculated density = 6.11 Mg/m³
DOS at the Fermi energy = 1.27 states/eV/atom

Cell lengths 4.2477, 4.2477, 10.7244 Å; angles 78.58, 78.58, 60.00 degrees
Closest atoms and distances in Å follow each position.
Fractional coordinates of all 4 atoms:
Ac 0.7186 0.7186 0.8442  3 Ni 2.94
Ac 0.2814 0.2814 0.1558  3 Ni 2.94
Ni 0.0000 0.0000 0.0000  6 Ac 2.94
Sr 0.5000 0.5000 0.5000  6 Sr 4.25, 6 Ac 4.35

2 | First-principles (PBE-GGA) data for a relaxed SrAc2Ni crystal, as listed in Alexandria via LeMat-Bulk.

Output
Space group = No. 123
Calculated density = 6.70 Mg/m³
DOS at the Fermi energy = 1.26 states/eV/atom

Cell lengths 3.8000, 3.8000, 10.2978 Å; angles 90.00, 90.00, 90.00 degrees
Closest atoms and distances in Å follow each position.
Fractional coordinates of all 4 atoms:
Ac 0.0000 0.0000 0.1678  4 Ni 3.19, 1 Ac 3.46
Ac 0.0000 0.0000 0.8322  4 Ni 3.19, 1 Ac 3.46
Ni 0.5000 0.5000 0.0000  8 Ac 3.19
Sr 0.5000 0.5000 0.5000  4 Sr 3.80

1 wins, 0.090 eV/atom ahead of the next structure.

1 | First-principles (PBE-GGA) data for a relaxed SrAc2Ni crystal, as listed in Alexandria via LeMat-Bulk.

Output
Space group = No. 12
Calculated density = 6.10 Mg/m³
DOS at the Fermi energy = 1.09 states/eV/atom

Cell lengths 4.1261, 7.7320, 10.5263 Å; angles 83.12, 101.30, 90.00 degrees
Closest atoms and distances in Å follow each position.
Fractional coordinates of all 8 atoms:
Ni 0.2569 0.2454 0.5138  6 Ac 2.92-3.07
Ni 0.7431 0.7546 0.4862  6 Ac 2.92-3.07
Sr 0.5028 0.7513 0.0056  4 Sr 3.83-4.13, 2 Ac 4.09-4.14
Sr 0.4972 0.2487 0.9944  4 Sr 3.83-4.13, 2 Ac 4.09-4.14
Ac 0.3230 0.5649 0.6459  3 Ni 2.92-2.96
Ac 0.8327 0.0436 0.6653  3 Ni 2.92-3.07
Ac 0.1673 0.9564 0.3347  3 Ni 2.92-3.07
Ac 0.6770 0.4351 0.3541  3 Ni 2.92-2.96

2 | First-principles (PBE-GGA) data for a relaxed SrAc2Ni crystal, as listed in Alexandria via LeMat-Bulk.

Output
Space group = No. 160
Calculated density = 6.06 Mg/m³
DOS at the Fermi energy = 1.11 states/eV/atom

Cell lengths 4.2791, 4.2791, 10.6707 Å; angles 78.43, 78.43, 60.00 degrees
Closest atoms and distances in Å follow each position.
Fractional coordinates of all 4 atoms:
Sr 0.5009 0.5009 0.4973  6 Sr 4.28, 6 Ac 4.33-4.39
Ac 0.2819 0.2819 0.1544  3 Ni 2.94
Ac 0.0511 0.0511 0.8467  3 Ni 2.95
Ni 0.6661 0.6661 0.0016  6 Ac 2.94-2.95

2 wins, 0.047 eV/atom ahead of the next structure.

1 | First-principles (PBE-GGA) data for a relaxed Sr2AcNi crystal, as listed in Alexandria via LeMat-Bulk.

Output
Space group = No. 11
Calculated density = 4.67 Mg/m³
DOS at the Fermi energy = 0.80 states/eV/atom

Cell lengths 4.2391, 4.2392, 18.2225 Å; angles 90.00, 90.01, 90.00 degrees
Closest atoms and distances in Å follow each position.
Fractional coordinates of all 8 atoms:
Ac 0.2504 0.3364 0.5790  5 Ni 2.98-3.00
Ac 0.7496 0.8364 0.4210  5 Ni 2.98-3.00
Sr 0.7499 0.8362 0.0832  12 Sr 4.24-4.30
Sr 0.2501 0.3362 0.9168  12 Sr 4.24-4.30
Sr 0.2496 0.3359 0.2519  1 Ni 2.98
Sr 0.7504 0.8359 0.7481  1 Ni 2.98
Ni 0.2494 0.3371 0.4157  5 Ac 2.98-3.00, 1 Sr 2.98
Ni 0.7506 0.8371 0.5843  5 Ac 2.98-3.00, 1 Sr 2.98

2 | First-principles (PBE-GGA) data for a relaxed Sr2AcNi crystal, as listed in Alexandria via LeMat-Bulk.

Output
Space group = No. 166
Calculated density = 4.79 Mg/m³
DOS at the Fermi energy = 0.87 states/eV/atom

Cell lengths 4.0105, 4.0105, 11.7011 Å; angles 80.13, 80.13, 60.00 degrees
Closest atoms and distances in Å follow each position.
Fractional coordinates of all 4 atoms:
Ac 0.0000 0.0000 0.0000  2 Sr 3.95, 6 Ac 4.01
Ni 0.5000 0.5000 0.5000  6 Sr 2.92
Sr 0.1149 0.1149 0.6553  3 Ni 2.92
Sr 0.8851 0.8851 0.3447  3 Ni 2.92

1 wins, 0.333 eV/atom ahead of the next structure.

1 | First-principles (PBE-GGA) data for a relaxed SrAc3Ni crystal, as listed in Alexandria via LeMat-Bulk.

Output
Space group = No. 14
Calculated density = 6.70 Mg/m³
DOS at the Fermi energy = 1.52 states/eV/atom

Cell lengths 7.2043, 10.7326, 10.8122 Å; angles 101.12, 90.00, 90.00 degrees
Closest atoms and distances in Å follow each position.
Fractional coordinates of all 20 atoms:
Ac 0.9217 0.0681 0.6874  3 Ni 2.97-2.98
Ac 0.4193 0.6892 0.0579  1 Ni 2.87
Ac 0.9193 0.3108 0.4421  1 Ni 2.87
Ac 0.9159 0.8150 0.9339  2 Ni 2.92-2.96
Ac 0.5783 0.0681 0.1874  3 Ni 2.97-2.98
Ac 0.4217 0.9319 0.8126  3 Ni 2.97-2.98
Ac 0.5841 0.8150 0.4339  2 Ni 2.92-2.96
Ac 0.0841 0.1850 0.0661  2 Ni 2.92-2.96
Ac 0.0783 0.9319 0.3126  3 Ni 2.97-2.98
Ac 0.4159 0.1850 0.5661  2 Ni 2.92-2.96
Ac 0.0807 0.6892 0.5579  1 Ni 2.87
Ac 0.5807 0.3108 0.9421  1 Ni 2.87
Ni 0.7474 0.0686 0.4381  6 Ac 2.87-2.98
Ni 0.7526 0.0686 0.9381  6 Ac 2.87-2.98
Ni 0.2474 0.9314 0.0619  6 Ac 2.87-2.98
Ni 0.2526 0.9314 0.5619  6 Ac 2.87-2.98
Sr 0.9142 0.5600 0.1862  9 Ac 4.13-4.22, 3 Sr 4.15-4.17
Sr 0.5858 0.5600 0.6862  9 Ac 4.13-4.22, 3 Sr 4.15-4.17
Sr 0.4142 0.4400 0.3138  9 Ac 4.13-4.22, 3 Sr 4.15-4.17
Sr 0.0858 0.4400 0.8138  9 Ac 4.13-4.22, 3 Sr 4.15-4.17

2 | First-principles (PBE-GGA) data for a relaxed SrAc3Ni crystal, as listed in Alexandria via LeMat-Bulk.

Output
Space group = No. 221
Calculated density = 6.64 Mg/m³
DOS at the Fermi energy = 2.01 states/eV/atom

Cell lengths 5.9155, 5.9155, 5.9155 Å; angles 90.00, 90.00, 90.00 degrees
Closest atoms and distances in Å follow each position.
Fractional coordinates of all 5 atoms:
Ac 0.0000 0.5000 0.0000  2 Ni 2.96
Ac 0.0000 0.0000 0.5000  2 Ni 2.96
Ac 0.5000 0.0000 0.0000  2 Ni 2.96
Sr 0.5000 0.5000 0.5000  12 Ac 4.18
Ni 0.0000 0.0000 0.0000  6 Ac 2.96

1 wins, 0.019 eV/atom ahead of the next structure.